This record from the Alexandria database describes a relaxed structure of ZrP2Rh. The functional is PBE.

abc: 4.426 4.426 4.426
angles: 60.00 60.00 60.00
Element x y z (fractional)
P 0.750 0.750 0.750
P 0.250 0.250 0.250
Zr 0.000 0.000 0.000
Rh 0.500 0.500 0.500

Summary:
energy relative to the lowest polymorph listed for this composition	24.5	kJ per mole of atoms
calculated volume	15.3	Å³/atom
Fermi-level density of states	1.00	states/eV/atom
magnetization	0.00	μB per atom
space group	Fm-3m



This record from the Alexandria database describes a relaxed structure of Be4SiAs. The functional is PBE.

abc: 4.560 4.560 4.560
angles: 60.00 60.00 60.00
Element x y z (fractional)
Be 0.376 0.376 0.872
Be 0.872 0.376 0.376
Be 0.376 0.376 0.376
Be 0.376 0.872 0.376
Si 0.750 0.750 0.750
As 0.000 0.000 0.000

Summary:
calculated volume	11.2	Å³/atom
Fermi-level density of states	0.21	states/eV/atom
magnetization	0.00	μB per atom
ΔE_f (raw)	0.401	eV per atom
space group	F-43m



This record from the Alexandria database describes a relaxed structure of AlPW. The functional is PBE.

abc: 6.510 6.279 2.851
angles: 81.69 72.62 25.68
Element x y z (fractional)
W 0.675 0.675 0.325
Al 0.998 0.998 0.002
P 0.327 0.327 0.673

Summary:
calculated volume	15.3	Å³/atom
Fermi-level density of states	0.55	states/eV/atom
raw total energy	-7.152	eV/atom
magnetization	0.00	μB per atom
space group	Fmm2



This record from the Alexandria database describes a relaxed structure of CuTe2Mo. The functional is PBE.

abc: 4.318 4.318 7.164
angles: 77.14 77.14 49.11
Each line ends with the local moment (μB).
Element x y z (fractional)
Te 0.234 0.234 0.381  -0.02
Te 0.015 0.015 0.906  -0.01
Mo 0.754 0.754 0.688  0.85
Cu 0.497 0.497 0.525  0.03

Summary:
energy relative to the lowest polymorph listed for this composition	4.8	kJ per mole of atoms
calculated volume	24.5	Å³/atom
Fermi-level density of states	0.27	states/eV/atom
magnetization	0.24	μB per atom
ΔE_f (raw)	0.146	eV per atom
space group	Cm